Sm2Tm2Sb2C (GGA-PBE, relaxed); total DFT energy (no corrections) = -41.802 eV per formula unit; magnetization = 0.0 μB per formula unit
1.0
-2.554 3.927 0.556
-0.854 0.102 -4.639
-4.918 -6.481 3.162
Sb Sm C Tm
2 2 1 2
Direct
0.362 0.362 0.725
0.638 0.638 0.275
0.162 0.162 0.324
0.838 0.838 0.676
0.000 0.000 0.000
0.000 0.500 0.000
0.500 0.000 0.000